Record 1
DFT (GGA-PBE) results for crystalline NdYCuSi3 at its relaxed geometry.

Properties
As for the space-group type: No. 69. As for the total energy: -0.21832 hartree per atom. The value obtained for the energy above the most stable polymorph in this dataset is 7 meV/atom.

a b c (Å): 8.130 8.066 5.793
angles (deg): 69.63 68.45 41.91
Element x y z (fractional)
Si 0.172 0.661 0.828
Si 0.661 0.172 0.339
Si 0.828 0.339 0.172
Si 0.168 0.168 0.832
Si 0.832 0.832 0.168
Si 0.339 0.828 0.661
Y 0.757 0.243 0.757
Y 0.243 0.757 0.243
Cu 0.665 0.665 0.335
Cu 0.335 0.335 0.665
Nd 0.250 0.250 0.250
Nd 0.750 0.750 0.750



Record 2
DFT (GGA-PBE) results for crystalline LaLuB4 at its relaxed geometry.

Properties
As for the space-group type: No. 71. As for the total energy: -0.23441 hartree per atom. The value obtained for the energy above the most stable polymorph in this dataset is 110 meV/atom.

a b c (Å): 5.220 5.220 5.220
angles (deg): 143.34 113.63 78.29
Element x y z (fractional)
B 0.419 0.753 0.666
B 0.087 0.753 0.334
B 0.581 0.247 0.334
B 0.913 0.247 0.666
Lu 0.500 0.500 0.000
La 0.000 0.000 0.000



Record 3
DFT (GGA-PBE) results for crystalline ZnPt18 at its relaxed geometry.

Properties
As for the space-group type: No. 11. As for the total energy: -0.21236 hartree per atom.

a b c (Å): 5.610 2.801 52.668
angles (deg): 90.00 90.00 90.00
Element x y z (fractional)
Pt 0.375 0.250 0.170
Pt 0.875 0.250 0.868
Pt 0.875 0.250 0.094
Pt 0.625 0.750 0.981
Pt 0.625 0.750 0.284
Pt 0.875 0.250 0.792
Pt 0.375 0.250 0.094
Pt 0.125 0.750 0.981
Pt 0.875 0.250 0.170
Pt 0.125 0.750 0.132
Pt 0.113 0.750 0.678
Pt 0.125 0.750 0.284
Pt 0.625 0.750 0.057
Pt 0.874 0.250 0.246
Pt 0.125 0.750 0.830
Pt 0.375 0.250 0.943
Pt 0.375 0.250 0.868
Pt 0.125 0.750 0.057
Pt 0.625 0.750 0.132
Pt 0.125 0.750 0.208
Pt 0.637 0.750 0.678
Pt 0.126 0.750 0.754
Pt 0.363 0.250 0.322
Pt 0.375 0.250 0.716
Pt 0.376 0.250 0.246
Pt 0.887 0.250 0.322
Pt 0.375 0.250 0.019
Pt 0.624 0.750 0.754
Pt 0.875 0.250 0.943
Pt 0.375 0.250 0.792
Pt 0.625 0.750 0.208
Pt 0.875 0.250 0.019
Pt 0.625 0.750 0.906
Pt 0.125 0.750 0.906
Pt 0.625 0.750 0.830
Pt 0.875 0.250 0.716
Zn 0.625 0.750 0.352
Zn 0.375 0.250 0.648



Record 4
DFT (GGA-PBE) results for crystalline SmBiMo at its relaxed geometry.

Properties
As for the space-group type: No. 216. As for the total energy: -0.20340 hartree per atom. The value obtained for the energy above the most stable polymorph in this dataset is 417 meV/atom.

a b c (Å): 5.117 5.117 5.117
angles (deg): 60.00 60.00 60.00
Element x y z (fractional)
Sm 0.000 0.000 0.000
Bi 0.250 0.250 0.250
Mo 0.750 0.750 0.750



Record 5
DFT (GGA-PBE) results for crystalline CsAg2 at its relaxed geometry.

Properties
As for the space-group type: No. 139. As for the total energy: -0.07396 hartree per atom.

a b c (Å): 6.769 6.769 6.769
angles (deg): 147.15 147.15 47.15
Element x y z (fractional)
Cs 0.000 0.000 0.000
Ag 0.277 0.277 0.000
Ag 0.723 0.723 0.000



Record 6
DFT (GGA-PBE) results for crystalline LiCuSn2 at its relaxed geometry.

Properties
As for the space-group type: No. 216. As for the total energy: -0.12296 hartree per atom.

a b c (Å): 4.891 4.891 4.891
angles (deg): 60.00 60.00 60.00
Element x y z (fractional)
Cu 0.250 0.250 0.250
Sn 0.000 0.000 0.000
Sn 0.750 0.750 0.750
Li 0.500 0.500 0.500



Record 7
DFT (GGA-PBE) results for crystalline LuBiSb at its relaxed geometry.

Properties
As for the space-group type: No. 216. As for the total energy: -0.15919 hartree per atom.

a b c (Å): 5.171 5.171 5.171
angles (deg): 60.00 60.00 60.00
Element x y z (fractional)
Lu 0.750 0.750 0.750
Sb 0.000 0.000 0.000
Bi 0.250 0.250 0.250



Record 8
DFT (GGA-PBE) results for crystalline DyHoTl4Pd2 at its relaxed geometry.

Properties
As for the space-group type: No. 38. As for the total energy: -0.14681 hartree per atom.

a b c (Å): 7.585 5.843 5.843
angles (deg): 45.91 90.00 90.00
Element x y z (fractional)
Pd 0.000 0.799 0.799
Pd 0.500 0.201 0.201
Tl 0.293 0.636 0.636
Tl 0.207 0.364 0.364
Tl 0.793 0.364 0.364
Tl 0.707 0.636 0.636
Ho 0.500 0.922 0.922
Dy 0.000 0.078 0.078